No. 1
CdAg2Mo: optimized geometry, GGA-PBE.

Computed properties:
Calculated volume ... 72.7 Å³/cell
Formation energy ... 0.4839 eV per atom
Spin magnetization ... 0.7 μB/f.u.

Unit cell a=2.7984 b=5.0934 c=5.1039 alpha=90.00 beta=90.00 gamma=90.00
Space group Pmmm (No. 47)
One atom of each set of equivalent atoms:
1 Cd 0.0000 0.0000 0.0000
2 Ag 0.0000 0.5000 0.5000
3 Ag 0.5000 0.5000 0.0000
4 Mo 0.5000 0.0000 0.5000

***

No. 2
CdAg2Mo: optimized geometry, GGA-PBE.

Computed properties:
Calculated volume ... 145.2 Å³/cell
Formation energy ... 0.5616 eV per atom
Spin magnetization ... 1.8 μB/f.u.

Unit cell a=4.3095 b=4.3095 c=7.8188 alpha=90.00 beta=90.00 gamma=90.00
Space group I4/mmm (No. 139)
One atom of each set of equivalent atoms:
1 Cd 0.0000 0.0000 0.0000
2 Ag 0.0000 0.5000 0.2500
3 Mo 0.0000 0.0000 0.5000

***

No. 3
CdAgMo4: optimized geometry, GGA-PBE.

Computed properties:
Calculated volume ... 423.0 Å³/cell
Formation energy ... 0.5617 eV per atom
Spin magnetization ... 0.0 μB/f.u.

Unit cell a=7.5066 b=7.5066 c=7.5066 alpha=90.00 beta=90.00 gamma=90.00
Space group F-43m (No. 216)
One atom of each set of equivalent atoms:
1 Cd 0.0000 0.0000 0.0000
2 Ag 0.2500 0.2500 0.2500
3 Mo 0.1242 0.1242 0.6242

***

No. 4
CdAg2Mo: optimized geometry, GGA-PBE.

Computed properties:
Calculated volume ... 213.7 Å³/cell
Formation energy ... 0.3067 eV per atom
Spin magnetization ... 0.0 μB/f.u.

Unit cell a=2.8822 b=2.8822 c=29.7008 alpha=90.00 beta=90.00 gamma=120.00
Space group R-3m (No. 166, hexagonal axes)
One atom of each set of equivalent atoms:
1 Cd 0.0000 0.0000 0.0000
2 Ag 0.0000 0.0000 0.2475
3 Mo 0.0000 0.0000 0.5000

***

No. 5
CdAg2Mo: optimized geometry, GGA-PBE.

Computed properties:
Calculated volume ... 145.3 Å³/cell
Formation energy ... 0.4856 eV per atom
Spin magnetization ... 0.8 μB/f.u.

Unit cell a=2.7971 b=5.1000 c=10.1885 alpha=90.00 beta=90.00 gamma=90.00
Space group Imm2 (No. 44)
One atom of each set of equivalent atoms:
1 Cd 0.0000 0.0000 0.0000
2 Ag 0.0000 0.0000 0.5030
3 Ag 0.0000 0.5000 0.2500
4 Mo 0.0000 0.5000 0.7539

***

No. 6
CdAg2Mo: optimized geometry, GGA-PBE.

Computed properties:
Calculated volume ... 143.6 Å³/cell
Formation energy ... 0.4524 eV per atom
Spin magnetization ... 0.9 μB/f.u.

Unit cell a=9.7601 b=2.7741 c=5.3584 alpha=90.00 beta=98.14 gamma=90.00
Space group Cm (No. 8)
One atom of each set of equivalent atoms:
1 Cd 0.0000 0.0000 0.0000
2 Ag 0.2495 0.0000 0.7465
3 Ag 0.4980 0.0000 0.4933
4 Mo 0.2490 0.5000 0.2534

***

No. 7
Nb2CdAgMo: optimized geometry, GGA-PBE.

Computed properties:
Calculated volume ... 115.7 Å³/cell
Formation energy ... 1.9000 eV per atom
Spin magnetization ... 0.0 μB/f.u.

Unit cell a=4.9224 b=4.9224 c=4.7749 alpha=90.00 beta=90.00 gamma=90.00
Space group P4/mmm (No. 123)
One atom of each set of equivalent atoms:
1 Nb 0.0000 0.5000 0.0000
2 Cd 0.0000 0.0000 0.5000
3 Ag 0.0000 0.0000 0.0000
4 Mo 0.5000 0.5000 0.5000

***

| no. | DOS at the Fermi energy (states/eV/f.u.) |
| --- | --- |
| 1 | 2.73 |
| 2 | 3.04 |
| 3 | 6.64 |
| 4 | 3.16 |
| 5 | 3.03 |
| 6 | 2.68 |
| 7 | 6.11 |